Record 1
# MgTc3Bi PBE relaxed
# ΔH_f (0 K): 8.7 eV per formula unit
# Energy above the lowest structure with this stoichiometry: 0.000 eV per atom
data_MgTc3Bi
_symmetry_space_group_name_H-M 'P 1'
_symmetry_Int_Tables_number 1
_symmetry_space_group_name_Hall 'P 1'
_cell_length_a 4.629
_cell_length_b 4.629
_cell_length_c 4.629
_cell_angle_alpha 90.00
_cell_angle_beta 90.00
_cell_angle_gamma 90.00
loop_
_atom_site_label
_atom_site_type_symbol
_atom_site_fract_x
_atom_site_fract_y
_atom_site_fract_z
Tc1 Tc 0.000 0.000 0.500
Tc2 Tc 0.000 0.500 0.000
Tc3 Tc 0.500 0.000 0.000
Mg1 Mg 0.000 0.000 0.000
Bi1 Bi 0.500 0.500 0.500

=====

Record 2
# Mg2BiTe PBE relaxed
# Formation energy from raw total energies: -0.13 eV per atom
# Energy above the lowest structure with this stoichiometry: 0.299 eV per atom
data_Mg2BiTe
_symmetry_space_group_name_H-M 'P 1'
_symmetry_Int_Tables_number 1
_symmetry_space_group_name_Hall 'P 1'
_cell_length_a 5.288
_cell_length_b 5.288
_cell_length_c 5.288
_cell_angle_alpha 60.00
_cell_angle_beta 60.00
_cell_angle_gamma 60.00
loop_
_atom_site_label
_atom_site_type_symbol
_atom_site_fract_x
_atom_site_fract_y
_atom_site_fract_z
Mg1 Mg 0.250 0.250 0.250
Mg2 Mg 0.750 0.750 0.750
Te1 Te 0.000 0.000 0.000
Bi1 Bi 0.500 0.500 0.500

=====

Record 3
# Mg2BiTe PBE relaxed
# Formation energy from raw total energies: -0.43 eV per atom
# Energy above the lowest structure with this stoichiometry: 0.000 eV per atom
data_Mg2BiTe
_symmetry_space_group_name_H-M 'P 1'
_symmetry_Int_Tables_number 1
_symmetry_space_group_name_Hall 'P 1'
_cell_length_a 4.090
_cell_length_b 4.090
_cell_length_c 7.989
_cell_angle_alpha 75.17
_cell_angle_beta 75.17
_cell_angle_gamma 60.00
loop_
_atom_site_label
_atom_site_type_symbol
_atom_site_fract_x
_atom_site_fract_y
_atom_site_fract_z
Mg1 Mg 0.743 0.743 0.770
Mg2 Mg 0.257 0.257 0.230
Bi1 Bi 0.500 0.500 0.500
Te1 Te 0.000 0.000 0.000

=====

Record 4
# MgBiTe2 PBE relaxed
# Formation energy from raw total energies: -0.23 eV per atom
# Energy above the lowest structure with this stoichiometry: 0.152 eV per atom
data_MgBiTe2
_symmetry_space_group_name_H-M 'P 1'
_symmetry_Int_Tables_number 1
_symmetry_space_group_name_Hall 'P 1'
_cell_length_a 6.445
_cell_length_b 6.445
_cell_length_c 8.953
_cell_angle_alpha 68.90
_cell_angle_beta 68.90
_cell_angle_gamma 90.00
loop_
_atom_site_label
_atom_site_type_symbol
_atom_site_fract_x
_atom_site_fract_y
_atom_site_fract_z
Mg1 Mg 0.250 0.750 0.500
Mg2 Mg 0.500 0.500 0.000
Bi1 Bi 0.000 0.000 0.000
Bi2 Bi 0.750 0.250 0.500
Te1 Te 0.875 0.843 0.750
Te2 Te 0.375 0.407 0.750
Te3 Te 0.157 0.625 0.250
Te4 Te 0.593 0.125 0.250

=====

Record 5
# MgBiTe2 PBE relaxed
# Formation energy from raw total energies: -0.38 eV per atom
# Energy above the lowest structure with this stoichiometry: 0.000 eV per atom
data_MgBiTe2
_symmetry_space_group_name_H-M 'P 1'
_symmetry_Int_Tables_number 1
_symmetry_space_group_name_Hall 'P 1'
_cell_length_a 4.451
_cell_length_b 6.315
_cell_length_c 4.455
_cell_angle_alpha 90.00
_cell_angle_beta 90.01
_cell_angle_gamma 90.00
loop_
_atom_site_label
_atom_site_type_symbol
_atom_site_fract_x
_atom_site_fract_y
_atom_site_fract_z
Mg1 Mg 0.128 0.500 0.872
Te1 Te 0.124 0.000 0.876
Te2 Te 0.625 0.500 0.376
Bi1 Bi 0.624 0.000 0.376

=====

Record 6
# Mg2BiTe PBE relaxed
# Formation energy from raw total energies: -0.30 eV per atom
# Energy above the lowest structure with this stoichiometry: 0.133 eV per atom
data_Mg2BiTe
_symmetry_space_group_name_H-M 'P 1'
_symmetry_Int_Tables_number 1
_symmetry_space_group_name_Hall 'P 1'
_cell_length_a 6.910
_cell_length_b 6.910
_cell_length_c 7.779
_cell_angle_alpha 63.63
_cell_angle_beta 63.63
_cell_angle_gamma 90.00
loop_
_atom_site_label
_atom_site_type_symbol
_atom_site_fract_x
_atom_site_fract_y
_atom_site_fract_z
Mg1 Mg 0.375 0.391 0.750
Mg2 Mg 0.875 0.859 0.750
Mg3 Mg 0.141 0.625 0.250
Mg4 Mg 0.609 0.125 0.250
Te1 Te 0.500 0.500 0.000
Te2 Te 0.250 0.750 0.500
Bi1 Bi 0.750 0.250 0.500
Bi2 Bi 0.000 0.000 0.000

=====

Q: Which formula does entry 6 have?
A: Mg2BiTe

=====

Q: What is the formula in the second record?
A: Mg2BiTe

=====

Q: Which formula does entry 1 have?
A: MgTc3Bi